Entry 1:
The following is a DFT calculation (GGA-PBE) of CsPS3 after structural relaxation.

Unit cell a=4.8315 b=4.8315 c=4.8315 alpha=90.00 beta=90.00 gamma=90.00
Space group Pm-3m (No. 221)
Inequivalent atoms, fractional coordinates:
Cs 0.0000 0.0000 0.0000 [1 per cell]
P 0.5000 0.5000 0.5000 [1 per cell]
S 0.0000 0.5000 0.5000 [3 per cell]

Entry 2:
The following is a DFT calculation (GGA-PBE) of Cs3PS4 after structural relaxation.

Unit cell a=11.3857 b=7.1970 c=6.8341 alpha=90.00 beta=90.00 gamma=90.00
Space group Pmn2_1 (No. 31)
Inequivalent atoms, fractional coordinates:
Cs 0.0000 0.0718 0.9997 [2 per cell]
Cs 0.2420 0.3234 0.5000 [4 per cell]
P 0.0000 0.6958 0.5040 [2 per cell]
S 0.0000 0.5301 0.7496 [2 per cell]
S 0.0000 0.5393 0.2520 [2 per cell]
S 0.1497 0.8579 0.5074 [4 per cell]

Entry 3:
The following is a DFT calculation (GGA-PBE) of Cs2PS4 after structural relaxation.

Unit cell a=11.6224 b=15.0949 c=15.3624 alpha=90.00 beta=90.00 gamma=90.00
Space group Fmmm (No. 69)
Inequivalent atoms, fractional coordinates:
Cs 0.0000 0.0000 0.2263 [8 per cell]
Cs 0.0000 0.2340 0.0000 [8 per cell]
P 0.2500 0.2500 0.2500 [8 per cell]
S 0.1512 0.1709 0.3276 [32 per cell]

Properties
* ΔE to the lowest computed polymorph: 147.9 meV per atom

no.,ΔE_f (raw) (eV/atom),uncorrected energy (eV/atom)
1,0.00,-3.730
2,-1.01,-4.066
3,-0.64,-4.016